First-principles (PBE+U) data for Ba2CoBr2O2 after structural relaxation, as listed in OQMD via LeMat-Bulk.

Structure (POSCAR):
```
Ba2CoBr2O2
1.0
4.270 0.000 0.000
0.000 4.270 0.000
0.000 0.000 16.812
Ba Co Br O
4 2 4 4
direct
0.000 0.000 0.105
0.000 0.000 0.895
0.500 0.500 0.395
0.500 0.500 0.605
0.000 0.000 0.500
0.500 0.500 0.000
0.000 0.000 0.319
0.000 0.000 0.681
0.500 0.500 0.181
0.500 0.500 0.819
0.000 0.500 0.000
0.000 0.500 0.500
0.500 0.000 0.000
0.500 0.000 0.500
```

Calculated values
Energy (eV per atom): -5.13
Space-group type: I4/mmm (139)